Record 1
# K2CdI PBE optimized geometry
# SG   Fm-3m, No. 225
# Formation energy (no corrections)   -551 meV per atom
data_K2CdI
_cell_length_a 6.245
_cell_length_b 6.245
_cell_length_c 6.245
_cell_angle_alpha 60.00
_cell_angle_beta 60.00
_cell_angle_gamma 60.00
_space_group_name_H-M_alt 'P 1'
_space_group_IT_number 1
loop_
_space_group_symop_operation_xyz
'x,y,z'
loop_
_atom_site_label
_atom_site_fract_x
_atom_site_fract_y
_atom_site_fract_z
I1 0.500 0.500 0.500
K1 0.250 0.250 0.250
K2 0.750 0.750 0.750
Cd1 0.000 0.000 0.000



Record 2
# PrNdDy2Te6 PBE optimized geometry
# SG   R3, No. 146
# Formation energy (no corrections)   -1372 meV per atom
data_PrNdDy2Te6
_cell_length_a 7.858
_cell_length_b 7.858
_cell_length_c 8.410
_cell_angle_alpha 62.14
_cell_angle_beta 62.14
_cell_angle_gamma 60.00
_space_group_name_H-M_alt 'P 1'
_space_group_IT_number 1
loop_
_space_group_symop_operation_xyz
'x,y,z'
loop_
_atom_site_label
_atom_site_fract_x
_atom_site_fract_y
_atom_site_fract_z
Te1 0.236 0.901 0.246
Te2 0.121 0.397 0.746
Te3 0.617 0.236 0.246
Te4 0.397 0.737 0.746
Te5 0.901 0.617 0.246
Te6 0.737 0.121 0.746
Dy1 0.008 0.008 0.975
Dy2 0.509 0.509 0.472
Nd1 0.319 0.319 0.043
Pr1 0.818 0.818 0.547



Record 3
# Si2SF PBE optimized geometry
# SG   I-42d, No. 122
# Formation energy (no corrections)   -257 meV per atom
data_Si2SF
_cell_length_a 6.684
_cell_length_b 6.684
_cell_length_c 5.474
_cell_angle_alpha 52.38
_cell_angle_beta 52.38
_cell_angle_gamma 90.00
_space_group_name_H-M_alt 'P 1'
_space_group_IT_number 1
loop_
_space_group_symop_operation_xyz
'x,y,z'
loop_
_atom_site_label
_atom_site_fract_x
_atom_site_fract_y
_atom_site_fract_z
Si1 0.375 0.367 0.750
Si2 0.875 0.883 0.750
Si3 0.117 0.625 0.250
Si4 0.633 0.125 0.250
S1 0.000 0.000 0.000
S2 0.750 0.250 0.500
F1 0.250 0.750 0.500
F2 0.500 0.500 0.000



Record 4
# BaMnHAu2 PBE optimized geometry
# SG   P4/mmm, No. 123
# Electronic total energy   -3.462 eV/atom
data_BaMnHAu2
_cell_length_a 6.027
_cell_length_b 6.027
_cell_length_c 4.462
_cell_angle_alpha 90.00
_cell_angle_beta 90.00
_cell_angle_gamma 90.00
_space_group_name_H-M_alt 'P 1'
_space_group_IT_number 1
loop_
_space_group_symop_operation_xyz
'x,y,z'
loop_
_atom_site_label
_atom_site_fract_x
_atom_site_fract_y
_atom_site_fract_z
Au1 0.500 0.000 0.000
Au2 0.000 0.500 0.000
Mn1 0.500 0.500 0.500
Ba1 0.000 0.000 0.000
H1 0.000 0.000 0.500



Record 5
# BaLaRe2 PBE optimized geometry
# SG   P2/m, No. 10
# Formation energy from the elements   339 kJ/mol of formula units
data_BaLaRe2
_cell_length_a 4.888
_cell_length_b 3.243
_cell_length_c 7.117
_cell_angle_alpha 79.51
_cell_angle_beta 90.00
_cell_angle_gamma 90.00
_space_group_name_H-M_alt 'P 1'
_space_group_IT_number 1
loop_
_space_group_symop_operation_xyz
'x,y,z'
loop_
_atom_site_label
_atom_site_fract_x
_atom_site_fract_y
_atom_site_fract_z
Ba1 0.500 0.250 0.250
Re1 0.000 0.470 0.600
Re2 0.000 0.030 0.900
La1 0.500 0.750 0.750



Record 6
# SnPbI6 PBE optimized geometry
# SG   P-1, No. 2
# Formation energy (no corrections)   -350 meV per atom
data_SnPbI6
_cell_length_a 7.586
_cell_length_b 7.588
_cell_length_c 8.218
_cell_angle_alpha 62.49
_cell_angle_beta 62.46
_cell_angle_gamma 59.95
_space_group_name_H-M_alt 'P 1'
_space_group_IT_number 1
loop_
_space_group_symop_operation_xyz
'x,y,z'
loop_
_atom_site_label
_atom_site_fract_x
_atom_site_fract_y
_atom_site_fract_z
I1 0.945 0.591 0.239
I2 0.055 0.409 0.761
I3 0.225 0.945 0.239
I4 0.409 0.775 0.761
I5 0.591 0.225 0.239
I6 0.775 0.055 0.761
Pb1 0.500 0.500 0.500
Sn1 0.000 0.000 0.000